## Sr4LiU3As8 (PBE-GGA)

Data for a geometry-optimized Sr4LiU3As8 structure.

```
Sr4LiU3As8
1.0
-3.123 7.024 3.644
-7.363 -1.077 -4.235
3.056 -6.300 4.832
As U Sr Li
8 3 4 1
direct
0.243 0.709 0.966 As
0.738 0.715 0.477 As
0.276 0.291 0.034 As
0.757 0.291 0.034 As
0.724 0.709 0.966 As
0.243 0.709 0.486 As
0.757 0.291 0.514 As
0.262 0.285 0.523 As
0.000 0.500 0.500 U
0.500 0.500 0.500 U
0.500 0.500 0.000 U
0.000 0.000 0.500 Sr
0.500 0.000 0.500 Sr
0.000 0.000 0.000 Sr
0.500 0.000 0.000 Sr
0.000 0.500 0.000 Li
```

Values from the calculation:
VASP energy (eV/atom): -5.8579

***

## SiTc2Pb (PBE-GGA)

Data for a geometry-optimized SiTc2Pb structure.

```
SiTc2Pb
1.0
5.907 0.011 -0.002
3.673 4.626 0.002
-4.524 -2.867 2.490
Si Tc Pb
1 2 1
direct
0.219 0.719 0.500 Si
0.774 0.274 0.500 Tc
0.044 0.044 0.000 Tc
0.464 0.464 0.000 Pb
```

Values from the calculation:
Raw formation energy (eV per atom): 0.32

***

What did the first record say?
## Sr4LiU3As8 (PBE-GGA)

Data for a geometry-optimized Sr4LiU3As8 structure.

```
Sr4LiU3As8
1.0
-3.123 7.024 3.644
-7.363 -1.077 -4.235
3.056 -6.300 4.832
As U Sr Li
8 3 4 1
direct
0.243 0.709 0.966 As
0.738 0.715 0.477 As
0.276 0.291 0.034 As
0.757 0.291 0.034 As
0.724 0.709 0.966 As
0.243 0.709 0.486 As
0.757 0.291 0.514 As
0.262 0.285 0.523 As
0.000 0.500 0.500 U
0.500 0.500 0.500 U
0.500 0.500 0.000 U
0.000 0.000 0.500 Sr
0.500 0.000 0.500 Sr
0.000 0.000 0.000 Sr
0.500 0.000 0.000 Sr
0.000 0.500 0.000 Li
```

Values from the calculation:
VASP energy (eV/atom): -5.8579